# 1
HfSbIrI2: relaxed, GGA-PBE.

## Properties
Spin magnetization ... 0.00 μB/f.u.
Total energy ... -19.4 eV/cell
Volume ... 168.55 Å³ per cell
ΔE_f (raw) ... 1.324 eV per atom

Cell and atoms, written as CIF:
```
data_HfSbIrI2
_chemical_formula_sum 'Hf1 Sb1 Ir1 I2'
_cell_length_a 5.834
_cell_length_b 5.834
_cell_length_c 4.952
_cell_angle_alpha 90.00
_cell_angle_beta 90.00
_cell_angle_gamma 90.00
_symmetry_space_group_name_H-M 'P 4/m m m'
_symmetry_Int_Tables_number 123
_symmetry_space_group_name_Hall '-P 4 2'
loop_
_atom_site_label
_atom_site_fract_x
_atom_site_fract_y
_atom_site_fract_z
Hf1 0.000 0.000 0.000
Sb1 0.500 0.500 0.500
Ir1 0.500 0.500 0.000
I1 0.000 0.500 0.500
```

---

# 2
KLi2CaZn: relaxed, GGA-PBE.

## Properties
Spin magnetization ... 0.00 μB/f.u.
Total energy ... -7.6 eV/cell
Volume ... 169.09 Å³ per cell
Formation enthalpy at 0 K ... 0.12 eV/atom

Cell and atoms, written as CIF:
```
data_KLi2CaZn
_chemical_formula_sum 'K1 Li2 Ca1 Zn1'
_cell_length_a 5.442
_cell_length_b 5.442
_cell_length_c 5.709
_cell_angle_alpha 90.00
_cell_angle_beta 90.00
_cell_angle_gamma 90.00
_symmetry_space_group_name_H-M 'P 4/m m m'
_symmetry_Int_Tables_number 123
_symmetry_space_group_name_Hall '-P 4 2'
loop_
_atom_site_label
_atom_site_fract_x
_atom_site_fract_y
_atom_site_fract_z
K1 0.000 0.000 0.000
Li1 0.000 0.500 0.500
Ca1 0.500 0.500 0.000
Zn1 0.500 0.500 0.500
```

---

# 3
SrCaH2: relaxed, GGA-PBE.

## Properties
Spin magnetization ... 0.42 μB/f.u.
Total energy ... -34.5 eV/cell
Volume ... 268.53 Å³ per cell

Cell and atoms, written as CIF:
```
data_SrCaH2
_chemical_formula_sum 'Sr3 Ca3 H6'
_cell_length_a 3.9292
_cell_length_b 3.9292
_cell_length_c 20.0843
_cell_angle_alpha 90.00
_cell_angle_beta 90.00
_cell_angle_gamma 120.00
_symmetry_space_group_name_H-M 'R -3 m'
_symmetry_Int_Tables_number 166
_symmetry_space_group_name_Hall '-R 3 2"'
loop_
_atom_site_label
_atom_site_fract_x
_atom_site_fract_y
_atom_site_fract_z
Sr1 0.0000 0.0000 0.0000
Ca1 0.0000 0.0000 0.5000
H1 0.0000 0.0000 0.1253
```